A relaxed CsFeW3 crystal. Source: the Alexandria database, functional GGA-PBEsol.

Values from the calculation:
Total energy in eV/cell: -40.60
Space group: Pm-3m (221)
Spin magnetization in Bohr magnetons per cell: 0.001
DFT formation energy in eV/atom: 2.15
D(E_F) in states/eV/cell: 6.11

abc: 4.616 4.616 4.616
angles: 90.00 90.00 90.00
Positions (direct):
1 Cs 0.000 0.000 0.000
2 Fe 0.500 0.500 0.500
3 W 0.000 0.500 0.500
4 W 0.500 0.000 0.500
5 W 0.500 0.500 0.000

---

A relaxed Cs2YFe crystal. Source: the Alexandria database, functional GGA-PBEsol.

Values from the calculation:
Total energy in eV/cell: -11.83
Space group: Fm-3m (225)
Spin magnetization in Bohr magnetons per cell: 1.019
DFT formation energy in eV/atom: 1.46
D(E_F) in states/eV/cell: 5.52

abc: 5.968 5.968 5.968
angles: 60.00 60.00 60.00
Positions (direct):
1 Cs 0.250 0.250 0.250
2 Cs 0.750 0.750 0.750
3 Y 0.000 0.000 0.000
4 Fe 0.500 0.500 0.500

---

> Which of these has the highest total energy?

Cs2YFe

---

> Which value of total energy does entry 2 give?

-11.83 eV/cell

---

> Which value of spin magnetization does entry 2 give?

1.019 Bohr magnetons per cell

---

> What is the spin magnetization in the first record?

0.001 Bohr magnetons per cell